Run 1
This record from Alexandria describes a geometry-optimized LaSm12Ho6 structure. The functional is PBE.

a b c (Å): 13.3933 13.3933 12.6275
angles (deg): 90.00 90.00 120.00
Closest atoms and distances in Å follow each position.
Space group R-3m (No. 166, hexagonal axes)
One atom of each set of equivalent atoms:
La (0.0000, 0.0000, 0.0000) (multiplicity 3)  6 Ho 3.46
Sm (0.0000, 0.2590, 0.5000) (multiplicity 18)  6 Sm 3.37-3.57, 4 Ho 3.46-3.60
Sm (0.0911, 0.1823, 0.2636) (multiplicity 18)  6 Sm 3.37-3.66, 2 Ho 3.75
Ho (0.0391, 0.5196, 0.6208) (multiplicity 18)  1 Ho 3.18, 2 Sm 3.46, 1 La 3.46

## Properties
The calculation puts the total moment at 0.00 μB/f.u.

Run 2
This record from Alexandria describes a geometry-optimized LaSm12Ho6 structure. The functional is PBE.

a b c (Å): 12.0750 12.0750 15.2605
angles (deg): 90.00 90.00 120.00
Closest atoms and distances in Å follow each position.
Space group R-3 (No. 148, hexagonal axes)
One atom of each set of equivalent atoms:
La (0.0000, 0.0000, 0.0000) (multiplicity 3)  6 Ho 3.51, 6 Sm 3.60
Sm (0.0083, 0.1773, 0.1918) (multiplicity 18)  4 Sm 3.45-3.63, 4 Ho 3.53-3.70, 1 La 3.60
Sm (0.0444, 0.1948, 0.4164) (multiplicity 18)  3 Ho 3.31-3.48, 6 Sm 3.33-3.70
Ho (0.0115, 0.5863, 0.6843) (multiplicity 18)  7 Sm 3.31-3.70, 1 La 3.51, 2 Ho 3.54

## Properties
The calculation puts the total moment at 0.00 μB/f.u.

Here is how they stack up, most stable first: run 2, run 1.

Run 1
This record from Alexandria describes a geometry-optimized LaSm5Ho structure. The functional is PBE.

a b c (Å): 5.8437 8.7900 11.9810
angles (deg): 90.00 90.00 90.00
Closest atoms and distances in Å follow each position.
Space group Immm (No. 71)
One atom of each set of equivalent atoms:
La (0.0000, 0.0000, 0.0000) (multiplicity 2)  6 Sm 3.00-3.32
Sm (0.0000, 0.0000, 0.2502) (multiplicity 4)  1 Ho 2.99, 1 La 3.00
Sm (0.0000, 0.3195, 0.5000) (multiplicity 4)  1 Ho 2.81
Sm (0.0000, 0.5000, 0.0000) (multiplicity 2)  2 Ho 2.92
Ho (0.0000, 0.0000, 0.5000) (multiplicity 2)  6 Sm 2.81-2.99

## Properties
The calculation puts the total moment at 0.00 μB/f.u.

Run 2
This record from Alexandria describes a geometry-optimized LaSm5Ho structure. The functional is PBE.

a b c (Å): 6.3035 6.3053 7.0109
angles (deg): 99.42 99.56 111.95
Closest atoms and distances in Å follow each position.
Space group P1 (No. 1)
One atom of each set of equivalent atoms:
La (0.0000, 0.0000, 0.0000) (multiplicity 1)  6 Sm 3.33-3.53, 2 Ho 3.51
Sm (0.0926, 0.5271, 0.2719) (multiplicity 1)  1 La 3.34, 1 Ho 3.44, 6 Sm 3.48-3.72
Sm (0.4720, 0.9069, 0.7278) (multiplicity 1)  1 La 3.34, 1 Ho 3.43, 6 Sm 3.48-3.72
Sm (0.5001, 0.5001, 0.0003) (multiplicity 1)  8 Sm 3.48-3.84, 2 La 3.53
Sm (0.5282, 0.0925, 0.2720) (multiplicity 1)  1 La 3.34, 1 Ho 3.43, 6 Sm 3.48-3.72
Sm (0.9068, 0.4731, 0.7279) (multiplicity 1)  1 La 3.33, 1 Ho 3.44, 6 Sm 3.48-3.72
Ho (0.0011, 0.0011, 0.5004) (multiplicity 1)  8 Sm 3.43-3.82, 2 La 3.51

## Properties
The calculation puts the total moment at 0.00 μB/f.u.

Here is how they stack up, most stable first: run 2, run 1.

Run 1
This record from Alexandria describes a geometry-optimized LaSm7Ho12 structure. The functional is PBE.

a b c (Å): 11.2885 11.2885 11.2885
angles (deg): 90.00 90.00 90.00
Closest atoms and distances in Å follow each position.
Space group Im-3m (No. 229)
One atom of each set of equivalent atoms:
La (0.0000, 0.0000, 0.0000) (multiplicity 2)  12 Ho 4.04
Sm (0.0000, 0.0000, 0.5000) (multiplicity 6)  12 Ho 3.94-3.99
Sm (0.2500, 0.2500, 0.2500) (multiplicity 8)  6 Ho 2.82
Ho (0.0000, 0.2533, 0.2533) (multiplicity 24)  2 Sm 2.82

## Properties
The calculation puts the total moment at 0.00 μB/f.u.

Run 2
This record from Alexandria describes a geometry-optimized LaSm7Ho12 structure. The functional is PBE.

a b c (Å): 12.2055 12.2055 15.4592
angles (deg): 90.00 90.00 120.00
Closest atoms and distances in Å follow each position.
Space group R-3 (No. 148, hexagonal axes)
One atom of each set of equivalent atoms:
La (0.0000, 0.0000, 0.0000) (multiplicity 3)  6 Sm 3.31
Sm (0.0000, 0.0000, 0.5000) (multiplicity 3)  12 Ho 3.48-3.70
Sm (0.0512, 0.4650, 0.5871) (multiplicity 18)  4 Ho 3.25-3.45, 1 Sm 3.26, 1 La 3.31
Ho (0.0175, 0.5720, 0.2063) (multiplicity 18)  4 Sm 3.25-3.48, 3 Ho 3.49-3.64
Ho (0.0444, 0.8574, 0.3015) (multiplicity 18)  3 Sm 3.42-3.79, 6 Ho 3.46-3.76

## Properties
The calculation puts the total moment at 0.00 μB/f.u.

Here is how they stack up, most stable first: run 2, run 1.

Run 1
This record from Alexandria describes a geometry-optimized LaSm6Ho2 structure. The functional is PBE.

a b c (Å): 7.5210 7.5210 6.1651
angles (deg): 90.00 90.00 120.00
Closest atoms and distances in Å follow each position.
Space group P-3m1 (No. 164)
One atom of each set of equivalent atoms:
La (0.0000, 0.0000, 0.0000) (multiplicity 1)  6 Sm 3.02
Sm (0.1866, 0.3732, 0.7082) (multiplicity 6)  1 La 3.02, 2 Sm 3.31
Ho (0.3333, 0.6667, 0.2179) (multiplicity 2)  12 Sm 3.58-3.80

## Properties
The calculation puts the total moment at 0.69 μB/f.u.

Run 2
This record from Alexandria describes a geometry-optimized LaSm6Ho2 structure. The functional is PBE.

a b c (Å): 3.6292 8.8622 9.5786
angles (deg): 90.39 100.91 90.07
Closest atoms and distances in Å follow each position.
Space group P-1 (No. 2)
One atom of each set of equivalent atoms:
La (0.0000, 0.0000, 0.0000) (multiplicity 1)  2 La 3.63, 4 Ho 3.63-3.64, 6 Sm 3.64
Sm (0.1098, 0.6642, 0.2204) (multiplicity 2)  4 Ho 3.57-3.61, 7 Sm 3.60-3.65, 1 La 3.64
Sm (0.2215, 0.3357, 0.4425) (multiplicity 2)  10 Sm 3.59-3.65, 2 Ho 3.60
Sm (0.3323, 0.0010, 0.6647) (multiplicity 2)  9 Sm 3.59-3.64, 2 La 3.64, 1 Ho 3.67
Ho (0.4440, 0.6640, 0.8885) (multiplicity 2)  7 Sm 3.57-3.67, 3 Ho 3.60-3.63, 2 La 3.63-3.64

## Properties
The calculation puts the total moment at 0.00 μB/f.u.

Here is how they stack up, most stable first: run 2, run 1.

Run 1
This record from Alexandria describes a geometry-optimized La3Sm6Ho structure. The functional is PBE.

a b c (Å): 13.4752 16.3758 6.3555
angles (deg): 90.00 90.00 90.00
Closest atoms and distances in Å follow each position.
Space group Cmc2_1 (No. 36)
One atom of each set of equivalent atoms:
La (0.0000, 0.1350, 0.0000) (multiplicity 4)  8 Sm 3.45-3.86, 1 Ho 3.51
La (0.2072, 0.4265, 0.3667) (multiplicity 8)  4 Sm 3.28-3.63, 1 Ho 3.53
Sm (0.0000, 0.2415, 0.5313) (multiplicity 4)  1 Ho 3.24, 5 Sm 3.33-3.61, 1 La 3.45
Sm (0.0000, 0.4397, 0.6511) (multiplicity 4)  2 Ho 3.23-3.53, 1 Sm 3.33, 2 La 3.33
Sm (0.1193, 0.0597, 0.4838) (multiplicity 8)  3 Sm 3.22-3.42, 3 La 3.28-3.57
Sm (0.2238, 0.2900, 0.8160) (multiplicity 8)  4 Sm 3.42-3.61, 1 Ho 3.63, 2 La 3.63-3.68
Ho (0.0000, 0.3459, 0.0978) (multiplicity 4)  3 Sm 3.23-3.53, 3 La 3.51-3.53

## Properties
The calculation puts the total moment at 0.00 μB/f.u.

Run 2
This record from Alexandria describes a geometry-optimized La3Sm6Ho structure. The functional is PBE.

a b c (Å): 12.0047 6.8534 8.8827
angles (deg): 90.00 101.82 90.00
Closest atoms and distances in Å follow each position.
Space group C2/m (No. 12)
One atom of each set of equivalent atoms:
La (0.0000, 0.0000, 0.0000) (multiplicity 2)  10 Sm 3.78-4.08
La (0.0266, 0.5000, 0.3245) (multiplicity 4)  1 La 3.31, 5 Sm 3.33-3.59
Sm (0.1856, 0.5000, 0.0039) (multiplicity 4)  4 Sm 3.34-3.49, 1 La 3.46
Sm (0.2423, 0.2691, 0.6780) (multiplicity 8)  4 Sm 3.17-3.49, 1 La 3.33, 1 Ho 3.53
Ho (0.0000, 0.0000, 0.5000) (multiplicity 2)  4 Sm 3.53, 4 La 3.81

## Properties
The calculation puts the total moment at 0.00 μB/f.u.

Here is how they stack up, most stable first: run 1, run 2.

Run 1
This record from Alexandria describes a geometry-optimized La12Sm7Ho structure. The functional is PBE.

a b c (Å): 12.5798 12.5798 15.5821
angles (deg): 90.00 90.00 120.00
Closest atoms and distances in Å follow each position.
Space group R-3 (No. 148, hexagonal axes)
One atom of each set of equivalent atoms:
La (0.0175, 0.4409, 0.2218) (multiplicity 18)  3 La 3.25-3.46
La (0.0654, 0.5943, 0.5780) (multiplicity 18)  4 La 3.22-3.46, 1 Sm 3.32
Sm (0.0000, 0.0000, 0.0000) (multiplicity 3)  6 La 3.32
Sm (0.0552, 0.1849, 0.3051) (multiplicity 18)  3 Sm 3.48-3.58, 1 Ho 3.67, 6 La 3.72-3.83
Ho (0.0000, 0.0000, 0.5000) (multiplicity 3)  6 La 3.65, 6 Sm 3.67

## Properties
The calculation puts the total moment at 0.00 μB/f.u.

Run 2
This record from Alexandria describes a geometry-optimized La12Sm7Ho structure. The functional is PBE.

a b c (Å): 19.7090 19.7090 6.4232
angles (deg): 90.00 90.00 120.00
Closest atoms and distances in Å follow each position.
Space group R-3m (No. 166, hexagonal axes)
One atom of each set of equivalent atoms:
La (0.0000, 0.4076, 0.0000) (multiplicity 18)  3 La 3.32-3.64, 2 Sm 3.38
La (0.0967, 0.5483, 0.4782) (multiplicity 18)  1 La 3.31, 4 Sm 3.36-3.67
Sm (0.0000, 0.0000, 0.0000) (multiplicity 3)  2 Ho 3.21, 6 Sm 3.45
Sm (0.0835, 0.1671, 0.3017) (multiplicity 18)  1 Ho 3.12, 4 La 3.36-3.48, 1 Sm 3.45
Ho (0.0000, 0.0000, 0.5000) (multiplicity 3)  8 Sm 3.12-3.21

## Properties
The calculation puts the total moment at 0.00 μB/f.u.

Here is how they stack up, most stable first: run 2, run 1.

Run 1
This record from Alexandria describes a geometry-optimized La2Sm4Ho structure. The functional is PBE.

a b c (Å): 6.2896 6.6875 11.7878
angles (deg): 90.04 104.03 90.00
Closest atoms and distances in Å follow each position.
Space group P-1 (No. 2)
One atom of each set of equivalent atoms:
La (0.1067, 0.2501, 0.4939) (multiplicity 2)  6 Sm 3.41-3.75, 1 Ho 3.48, 2 La 3.62
La (0.2069, 0.2502, 0.0714) (multiplicity 2)  9 Sm 3.40-3.68
Sm (0.1486, 0.0084, 0.7852) (multiplicity 2)  5 Sm 3.23-3.61, 1 Ho 3.54, 1 La 3.56
Sm (0.1490, 0.4915, 0.7852) (multiplicity 2)  5 Sm 3.23-3.61, 1 Ho 3.54, 1 La 3.56
Sm (0.3573, 0.7502, 0.0523) (multiplicity 2)  1 Ho 3.39, 4 La 3.40-3.50, 4 Sm 3.55-3.61
Sm (0.4752, 0.7499, 0.6435) (multiplicity 2)  3 La 3.41-3.63, 2 Sm 3.41, 3 Ho 3.48-3.50
Ho (0.3545, 0.7500, 0.3393) (multiplicity 2)  6 Sm 3.39-3.54, 1 La 3.48

## Properties
The calculation puts the total moment at 0.00 μB/f.u.

Run 2
This record from Alexandria describes a geometry-optimized La2Sm4Ho structure. The functional is PBE.

a b c (Å): 9.5646 11.9227 9.4084
angles (deg): 90.00 117.05 90.00
Closest atoms and distances in Å follow each position.
Space group Cc (No. 9)
One atom of each set of equivalent atoms:
La (0.0000, 0.1203, 0.0000) (multiplicity 4)  6 Sm 3.47-3.72, 2 La 3.49-3.73, 2 Ho 3.53-3.55
La (0.2137, 0.3690, 0.0682) (multiplicity 4)  2 La 3.49-3.73, 7 Sm 3.51-3.71, 1 Ho 3.71
Sm (0.0681, 0.3701, 0.3599) (multiplicity 4)  6 Sm 3.44-3.73, 3 La 3.60-3.72, 1 Ho 3.63
Sm (0.2830, 0.1209, 0.4279) (multiplicity 4)  5 Sm 3.42-3.73, 2 Ho 3.49-3.53, 3 La 3.61-3.71
Sm (0.3558, 0.3751, 0.7831) (multiplicity 4)  2 Ho 3.42-3.73, 4 Sm 3.44-3.67, 4 La 3.47-3.57
Sm (0.4296, 0.1192, 0.1441) (multiplicity 4)  5 Sm 3.42-3.67, 3 La 3.51-3.69, 2 Ho 3.51-3.71
Ho (0.1455, 0.1314, 0.7138) (multiplicity 4)  7 Sm 3.42-3.73, 3 La 3.53-3.71

## Properties
The calculation puts the total moment at 0.00 μB/f.u.

Here is how they stack up, most stable first: run 2, run 1.

Run 1
This record from Alexandria describes a geometry-optimized La8Sm3Ho2 structure. The functional is PBE.

a b c (Å): 14.5993 11.3230 5.9102
angles (deg): 90.00 109.41 90.00
Closest atoms and distances in Å follow each position.
Space group C2/m (No. 12)
One atom of each set of equivalent atoms:
La (0.0785, 0.0000, 0.2305) (multiplicity 4)  1 La 2.92, 2 Ho 3.22-3.25
La (0.1584, 0.5000, 0.6187) (multiplicity 4)  1 Ho 3.46, 4 Sm 3.62-3.73, 3 La 3.64-3.77
La (0.1690, 0.2695, 0.1679) (multiplicity 8)  3 La 3.39-3.77, 2 Ho 3.44-3.74, 2 Sm 3.50-3.64
Sm (0.0000, 0.2422, 0.5000) (multiplicity 4)  8 La 3.55-3.91, 2 Ho 3.77
Sm (0.0000, 0.5000, 0.0000) (multiplicity 2)  8 La 3.50-3.73
Ho (0.1744, 0.0000, 0.8063) (multiplicity 4)  5 La 3.22-3.46

## Properties
The calculation puts the total moment at 0.00 μB/f.u.

Run 2
This record from Alexandria describes a geometry-optimized La8Sm3Ho2 structure. The functional is PBE.

a b c (Å): 20.6288 7.7417 5.9052
angles (deg): 90.00 90.04 90.00
Closest atoms and distances in Å follow each position.
Space group C2/m (No. 12)
One atom of each set of equivalent atoms:
La (0.1060, 0.2029, 0.0003) (multiplicity 8)  1 La 3.14, 1 Sm 3.17
La (0.1340, 0.5000, 0.4991) (multiplicity 4)  2 Sm 3.52, 2 Ho 3.68-3.69, 5 La 3.78-3.93
La (0.1754, 0.0000, 0.5015) (multiplicity 4)  2 Ho 3.42, 4 La 3.63-3.64
Sm (0.0000, 0.2178, 0.5000) (multiplicity 4)  3 Sm 3.37-3.67, 6 La 3.52-3.68
Sm (0.0000, 0.5000, 0.0000) (multiplicity 2)  4 La 3.17
Ho (0.2410, 0.5000, 0.9982) (multiplicity 4)  8 La 3.42-3.69

## Properties
The calculation puts the total moment at 0.00 μB/f.u.

Here is how they stack up, most stable first: run 1, run 2.

Run 1
This record from Alexandria describes a geometry-optimized LaSm7Ho3 structure. The functional is PBE.

a b c (Å): 11.7647 10.1087 6.4438
angles (deg): 90.00 95.84 90.00
Closest atoms and distances in Å follow each position.
Space group C2/m (No. 12)
One atom of each set of equivalent atoms:
La (0.0000, 0.0000, 0.0000) (multiplicity 2)  4 Sm 3.22-3.47
Sm (0.0000, 0.0000, 0.5000) (multiplicity 2)  2 La 3.22, 2 Ho 3.34, 2 Sm 3.52
Sm (0.2348, 0.5000, 0.7098) (multiplicity 4)  5 Sm 3.31-3.52, 3 Ho 3.41-3.49, 1 La 3.47
Sm (0.2485, 0.3251, 0.2411) (multiplicity 8)  6 Sm 3.31-3.70, 3 Ho 3.51-3.63
Ho (0.0000, 0.3305, 0.5000) (multiplicity 4)  7 Sm 3.34-3.61, 3 Ho 3.43-3.65
Ho (0.0000, 0.5000, 0.0000) (multiplicity 2)  6 Sm 3.49-3.63, 4 Ho 3.65

## Properties
The calculation puts the total moment at 0.00 μB/f.u.

Run 2
This record from Alexandria describes a geometry-optimized LaSm7Ho3 structure. The functional is PBE.

a b c (Å): 12.7247 11.3329 5.9059
angles (deg): 90.00 117.56 90.00
Closest atoms and distances in Å follow each position.
Space group C2/m (No. 12)
One atom of each set of equivalent atoms:
La (0.0000, 0.0000, 0.0000) (multiplicity 2)  4 Sm 2.95-3.29
Sm (0.0000, 0.0000, 0.5000) (multiplicity 2)  2 La 2.95
Sm (0.2021, 0.2985, 0.2021) (multiplicity 8)  2 Ho 3.23-3.53, 3 Sm 3.33-3.53
Sm (0.2084, 0.5000, 0.7079) (multiplicity 4)  2 Ho 3.28, 1 La 3.29, 2 Sm 3.53
Ho (0.0000, 0.2977, 0.5000) (multiplicity 4)  5 Sm 3.28-3.53
Ho (0.0000, 0.5000, 0.0000) (multiplicity 2)  4 Sm 3.23

## Properties
The calculation puts the total moment at 0.23 μB/f.u.

Here is how they stack up, most stable first: run 1, run 2.